{
  "formula": "Zr2NiRu2",
  "functional": "GGA-PBE",
  "state": "optimized geometry",
  "lattice": [[-0.6364, 6.0445, -2.4076], [-3.5297, -2.3529, -4.9743], [-3.3853, 0.5052, 2.1632]],
  "species": ["Ru", "Ru", "Ru", "Ru", "Zr", "Zr", "Zr", "Zr", "Ni", "Ni"],
  "fractional_positions": [[0.3648, 0.8648, 0.0000], [0.8648, 0.6352, 0.0000], [0.6352, 0.1352, 0.0000], [0.1352, 0.3648, 0.0000], [0.1807, 0.6807, 0.5000], [0.6807, 0.8193, 0.5000], [0.8193, 0.3193, 0.5000], [0.3193, 0.1807, 0.5000], [0.0000, 0.0000, 0.0000], [0.5000, 0.5000, 0.0000]],
  "crystal_system": "tetragonal",
  "ef_mev_per_atom": -255,
  "energy_ev_per_cell": -85.41
}